1.
Density functional theory data (PBE-GGA) for an optimized crystal structure of Pm2FeNi3Ge4.

a b c (Å): 4.135 4.135 9.812
angles (deg): 90.00 90.00 90.00
Space group P-4m2 (No. 115)
Unique sites:
Pm (0.000, 0.500, 0.248) [2 per cell]
Fe (0.000, 0.000, 0.500) [1 per cell]
Ni (0.000, 0.500, 0.875) [2 per cell]
Ni (0.500, 0.500, 0.500) [1 per cell]
Ge (0.000, 0.000, 0.000) [1 per cell]
Ge (0.000, 0.500, 0.630) [2 per cell]
Ge (0.500, 0.500, 0.000) [1 per cell]

Computed properties:
Its total magnetic moment is 1.91 μB per cell. Its density of states at the Fermi level is 7.74 states/eV/f.u. The value obtained for the formation energy is -0.629 eV/atom. For the calculated total energy, the calculation gives -6.006 eV/atom.

2.
Density functional theory data (PBE-GGA) for an optimized crystal structure of Pm2TlPb3.

a b c (Å): 4.647 15.768 4.810
angles (deg): 90.00 90.00 90.00
Space group Cmmm (No. 65)
Unique sites:
Pm (0.000, 0.149, 0.000) [4 per cell]
Tl (0.000, 0.000, 0.500) [2 per cell]
Pb (0.000, 0.324, 0.500) [4 per cell]
Pb (0.000, 0.500, 0.000) [2 per cell]

Computed properties:
Its total magnetic moment is 0.00 μB per cell. Its density of states at the Fermi level is 2.61 states/eV/f.u. For the energy above the most stable polymorph in this dataset, the calculation gives 0 meV/atom. The value obtained for the formation energy is -0.437 eV/atom. For the calculated total energy, the calculation gives -4.269 eV/atom.

3.
Density functional theory data (PBE-GGA) for an optimized crystal structure of ZrPt3.

a b c (Å): 5.185 5.185 5.185
angles (deg): 90.00 90.00 90.00
Space group Pm-3n (No. 223)
Unique sites:
Zr (0.000, 0.000, 0.000) [2 per cell]
Pt (0.000, 0.250, 0.500) [6 per cell]

Computed properties:
Its total magnetic moment is 0.00 μB per cell. Its density of states at the Fermi level is 1.39 states/eV/f.u. The value obtained for the formation energy is -0.794 eV/atom. For the calculated total energy, the calculation gives -7.461 eV/atom.

4.
Density functional theory data (PBE-GGA) for an optimized crystal structure of KSe2Cl.

a b c (Å): 4.4280 4.4280 22.1077
angles (deg): 90.00 90.00 120.00
Space group R3m (No. 160, hexagonal axes)
Unique sites:
K (0.0000, 0.0000, 0.0000) [3 per cell]
Se (0.0000, 0.0000, 0.2058) [3 per cell]
Se (0.0000, 0.0000, 0.5095) [3 per cell]
Cl (0.0000, 0.0000, 0.7316) [3 per cell]

Computed properties:
Its total magnetic moment is 0.00 μB per cell. Its density of states at the Fermi level is 0.73 states/eV/f.u. As for the uncorrected formation energy: -2.7 eV per formula unit. For the energy above the most stable polymorph in this dataset, the calculation gives 117 meV/atom. For the calculated total energy, the calculation gives -3.160 eV/atom.

5.
Density functional theory data (PBE-GGA) for an optimized crystal structure of Rb3NaNi.

a b c (Å): 6.609 6.609 6.609
angles (deg): 90.00 90.00 90.00
Space group Pm-3m (No. 221)
Unique sites:
Rb (0.000, 0.000, 0.500) [3 per cell]
Na (0.500, 0.500, 0.500) [1 per cell]
Ni (0.000, 0.000, 0.000) [1 per cell]

Computed properties:
Its total magnetic moment is 0.03 μB per cell. Its density of states at the Fermi level is 9.18 states/eV/f.u. For the energy above the most stable polymorph in this dataset, the calculation gives 0 meV/atom. The value obtained for the formation energy is 0.441 eV/atom. For the calculated total energy, the calculation gives -1.559 eV/atom.

6.
Density functional theory data (PBE-GGA) for an optimized crystal structure of Tb2BeTl.

a b c (Å): 3.568 3.568 7.465
angles (deg): 90.00 90.00 90.00
Space group P4/mmm (No. 123)
Unique sites:
Tb (0.000, 0.000, 0.218) [2 per cell]
Be (0.500, 0.500, 0.000) [1 per cell]
Tl (0.500, 0.500, 0.500) [1 per cell]

Computed properties:
Its total magnetic moment is 0.00 μB per cell. Its density of states at the Fermi level is 1.79 states/eV/f.u. The value obtained for the formation energy is -0.122 eV/atom. For the calculated total energy, the calculation gives -3.960 eV/atom.

7.
Density functional theory data (PBE-GGA) for an optimized crystal structure of SrHf2BeN4.

a b c (Å): 3.247 10.995 10.846
angles (deg): 90.00 90.00 90.00
Space group Cmcm (No. 63)
Unique sites:
Sr (0.000, 0.099, 0.250) [4 per cell]
Hf (0.000, 0.365, 0.055) [8 per cell]
Be (0.000, 0.175, 0.750) [4 per cell]
N (0.000, 0.000, 0.000) [4 per cell]
N (0.000, 0.256, 0.613) [8 per cell]
N (0.000, 0.409, 0.250) [4 per cell]

Computed properties:
Its total magnetic moment is 0.00 μB per cell. As for the uncorrected formation energy: -12.4 eV per formula unit. For the calculated total energy, the calculation gives -8.875 eV/atom.

8.
Density functional theory data (PBE-GGA) for an optimized crystal structure of TbEuGdEr.

a b c (Å): 8.130 8.130 8.130
angles (deg): 90.00 90.00 90.00
Space group F-43m (No. 216)
Unique sites:
Tb (0.000, 0.000, 0.000) [4 per cell]
Eu (0.250, 0.250, 0.250) [4 per cell]
Gd (0.250, 0.250, 0.750) [4 per cell]
Er (0.000, 0.000, 0.500) [4 per cell]

Computed properties:
Its total magnetic moment is 3.61 μB per cell. Its density of states at the Fermi level is 7.68 states/eV/f.u. The value obtained for the formation energy is 0.154 eV/atom. For the calculated total energy, the calculation gives -8.233 eV/atom.

9.
Density functional theory data (PBE-GGA) for an optimized crystal structure of LaMgSn2Se.

a b c (Å): 5.346 5.346 5.103
angles (deg): 90.00 90.00 90.00
Space group P4/mmm (No. 123)
Unique sites:
La (0.000, 0.000, 0.000) [1 per cell]
Mg (0.500, 0.500, 0.500) [1 per cell]
Sn (0.000, 0.500, 0.500) [2 per cell]
Se (0.500, 0.500, 0.000) [1 per cell]

Computed properties:
Its total magnetic moment is 0.00 μB per cell. Its density of states at the Fermi level is 4.33 states/eV/f.u. As for the uncorrected formation energy: -1.1 eV per formula unit. For the calculated total energy, the calculation gives -3.815 eV/atom.

10.
Density functional theory data (PBE-GGA) for an optimized crystal structure of SnHOs.

a b c (Å): 3.1813 3.1813 14.1124
angles (deg): 90.00 90.00 120.00
Space group R3m (No. 160, hexagonal axes)
Unique sites:
Sn (0.0000, 0.0000, 0.0000) [3 per cell]
H (0.0000, 0.0000, 0.5104) [3 per cell]
Os (0.0000, 0.0000, 0.8098) [3 per cell]

Computed properties:
Its total magnetic moment is 0.00 μB per cell. Its density of states at the Fermi level is 1.36 states/eV/f.u. For the energy above the most stable polymorph in this dataset, the calculation gives 129 meV/atom. For the calculated total energy, the calculation gives -5.858 eV/atom.

11.
Density functional theory data (PBE-GGA) for an optimized crystal structure of Na2HoPuTe4.

a b c (Å): 7.727 4.460 7.948
angles (deg): 90.00 108.97 90.00
Space group P2/m (No. 10)
Unique sites:
Na (0.000, 0.000, 0.000) [1 per cell]
Na (0.500, 0.500, 0.000) [1 per cell]
Ho (0.000, 0.500, 0.500) [1 per cell]
Pu (0.500, 0.000, 0.500) [1 per cell]
Te (0.239, 0.000, 0.733) [2 per cell]
Te (0.252, 0.500, 0.267) [2 per cell]

Computed properties:
Its total magnetic moment is 5.00 μB per cell. Its density of states at the Fermi level is 13.85 states/eV/f.u. As for the uncorrected formation energy: -9.3 eV per formula unit. For the calculated total energy, the calculation gives -5.426 eV/atom.

12.
Density functional theory data (PBE-GGA) for an optimized crystal structure of HoTmS.

a b c (Å): 14.007 3.731 6.472
angles (deg): 90.00 117.42 90.00
Space group C2/m (No. 12)
Unique sites:
Ho (0.116, 0.000, 0.450) [4 per cell]
Tm (0.117, 0.500, 0.951) [4 per cell]
S (0.250, 0.000, 0.248) [4 per cell]

Computed properties:
Its total magnetic moment is 0.00 μB per cell. Its density of states at the Fermi level is 2.81 states/eV/f.u. As for the uncorrected formation energy: -3.8 eV per formula unit. For the energy above the most stable polymorph in this dataset, the calculation gives 0 meV/atom. For the calculated total energy, the calculation gives -5.664 eV/atom.